[1]
# EuMg2Ni

EuMg2Ni after structural relaxation (PBE-GGA, Alexandria via LeMat-Bulk).

Results
DFT formation energy = 138 meV per atom
symmetry = R-3m

CIF file:
```
data_EuMg2Ni
_cell_length_a 4.9406
_cell_length_b 4.9406
_cell_length_c 4.9583
_cell_angle_alpha 60.12
_cell_angle_beta 60.12
_cell_angle_gamma 60.00
_symmetry_space_group_name_H-M 'P 1'
_symmetry_Int_Tables_number 1
loop_
_symmetry_equiv_pos_as_xyz
'x,y,z'
loop_
_atom_site_label
_atom_site_fract_x
_atom_site_fract_y
_atom_site_fract_z
Ni1 0.5000 0.5000 0.5000
Eu1 0.0000 0.0000 0.0000
Mg1 0.7510 0.7510 0.7471
Mg2 0.2490 0.2490 0.2529
```

=====

[2]
# MgCrW2

MgCrW2 after structural relaxation (PBE-GGA, Alexandria via LeMat-Bulk).

Results
energy above the most stable polymorph in this dataset = 0.7269 eV/atom
DFT formation energy = 1024 meV per atom
symmetry = I-42d

CIF file:
```
data_MgCrW2
_cell_length_a 3.7778
_cell_length_b 3.7778
_cell_length_c 10.1314
_cell_angle_alpha 79.26
_cell_angle_beta 79.26
_cell_angle_gamma 90.00
_symmetry_space_group_name_H-M 'P 1'
_symmetry_Int_Tables_number 1
loop_
_symmetry_equiv_pos_as_xyz
'x,y,z'
loop_
_atom_site_label
_atom_site_fract_x
_atom_site_fract_y
_atom_site_fract_z
Cr1 0.0000 0.0000 0.0000
W1 0.1188 0.6250 0.2500
Cr2 0.7500 0.2500 0.5000
W2 0.6312 0.1250 0.2500
Mg1 0.5000 0.5000 0.0000
W3 0.8750 0.8812 0.7500
Mg2 0.2500 0.7500 0.5000
W4 0.3750 0.3688 0.7500
```

=====

[3]
# Tm2CoNi12P3

Tm2CoNi12P3 after structural relaxation (PBE-GGA, Alexandria via LeMat-Bulk).

Results
DFT formation energy = -111 meV per atom
symmetry = R-3m

CIF file:
```
data_Tm2CoNi12P3
_cell_length_a 6.2082
_cell_length_b 6.2082
_cell_length_c 6.2082
_cell_angle_alpha 84.87
_cell_angle_beta 84.87
_cell_angle_gamma 84.87
_symmetry_space_group_name_H-M 'P 1'
_symmetry_Int_Tables_number 1
loop_
_symmetry_equiv_pos_as_xyz
'x,y,z'
loop_
_atom_site_label
_atom_site_fract_x
_atom_site_fract_y
_atom_site_fract_z
Ni1 0.6191 0.1038 0.6191
Ni2 0.6191 0.6191 0.1038
Ni3 0.3088 0.8202 0.8202
P1 0.5000 0.0000 0.0000
Tm1 0.3409 0.3409 0.3409
Tm2 0.6591 0.6591 0.6591
Ni4 0.8202 0.8202 0.3088
Ni5 0.1038 0.6191 0.6191
Ni6 0.1798 0.1798 0.6912
Ni7 0.3809 0.3809 0.8962
Ni8 0.1798 0.6912 0.1798
P2 0.0000 0.0000 0.5000
P3 0.0000 0.5000 0.0000
Co1 0.0000 0.0000 0.0000
Ni9 0.8202 0.3088 0.8202
Ni10 0.8962 0.3809 0.3809
Ni11 0.6912 0.1798 0.1798
Ni12 0.3809 0.8962 0.3809
```

=====

[4]
# Er6Sb2Te3Pb

Er6Sb2Te3Pb after structural relaxation (PBE-GGA, Alexandria via LeMat-Bulk).

Results
energy relative to the elements, uncorrected = -1.102 eV/atom
symmetry = C2/m

CIF file:
```
data_Er6Sb2Te3Pb
_cell_length_a 4.3649
_cell_length_b 8.7081
_cell_length_c 9.7415
_cell_angle_alpha 102.80
_cell_angle_beta 102.95
_cell_angle_gamma 90.00
_symmetry_space_group_name_H-M 'P 1'
_symmetry_Int_Tables_number 1
loop_
_symmetry_equiv_pos_as_xyz
'x,y,z'
loop_
_atom_site_label
_atom_site_fract_x
_atom_site_fract_y
_atom_site_fract_z
Sb1 0.1669 0.3338 0.3339
Er1 0.0021 0.2432 0.0042
Er2 0.9979 0.7568 0.9958
Er3 0.3364 0.9109 0.6729
Te1 0.5000 0.5000 0.0000
Er4 0.3307 0.4234 0.6615
Pb1 0.5000 0.0000 0.0000
Te2 0.1676 0.8328 0.3352
Sb2 0.8330 0.6662 0.6661
Er5 0.6636 0.0891 0.3271
Te3 0.8324 0.1672 0.6648
Er6 0.6693 0.5766 0.3385
```

=====

[5]
# ReMo2Os

ReMo2Os after structural relaxation (PBE-GGA, Alexandria via LeMat-Bulk).

Results
DFT formation energy = 202 meV per atom
symmetry = P2/m

CIF file:
```
data_ReMo2Os
_cell_length_a 4.3714
_cell_length_b 2.7199
_cell_length_c 5.2560
_cell_angle_alpha 79.13
_cell_angle_beta 90.00
_cell_angle_gamma 90.00
_symmetry_space_group_name_H-M 'P 1'
_symmetry_Int_Tables_number 1
loop_
_symmetry_equiv_pos_as_xyz
'x,y,z'
loop_
_atom_site_label
_atom_site_fract_x
_atom_site_fract_y
_atom_site_fract_z
Os1 0.5000 0.2500 0.2500
Mo1 0.0000 0.9552 0.0016
Re1 0.5000 0.7500 0.7500
Mo2 0.0000 0.5448 0.4984
```

=====

[6]
# LiCd3N

LiCd3N after structural relaxation (PBE-GGA, Alexandria via LeMat-Bulk).

Results
energy above the most stable polymorph in this dataset = 0.6869 eV/atom
energy relative to the elements, uncorrected = 1.141 eV/atom
symmetry = Pm-3m

CIF file:
```
data_LiCd3N
_cell_length_a 4.9810
_cell_length_b 4.9810
_cell_length_c 4.9810
_cell_angle_alpha 90.00
_cell_angle_beta 90.00
_cell_angle_gamma 90.00
_symmetry_space_group_name_H-M 'P 1'
_symmetry_Int_Tables_number 1
loop_
_symmetry_equiv_pos_as_xyz
'x,y,z'
loop_
_atom_site_label
_atom_site_fract_x
_atom_site_fract_y
_atom_site_fract_z
Cd1 0.5000 0.0000 0.0000
Li1 0.0000 0.0000 0.0000
N1 0.5000 0.5000 0.5000
Cd2 0.0000 0.0000 0.5000
Cd3 0.0000 0.5000 0.0000
```

=====

| no. | density of states at the Fermi level (states/eV/atom) |
| --- | --- |
| 1 | 1.731 |
| 2 | 1.055 |
| 3 | 1.063 |
| 4 | 0.354 |
| 5 | 1.009 |
| 6 | 0.395 |